Computed, not measured: a relaxed structure of WSe2 at the PBE-GGA level of DFT. Values from VASP.

Cell and atoms, written as Quantum ESPRESSO input:
```
&SYSTEM
  ibrav = 0, nat = 3, ntyp = 2
/
ATOMIC_SPECIES
W 183.84 W.upf
Se 78.96 Se.upf
ATOMIC_POSITIONS crystal
W 0.000 0.000 0.000
Se 0.333 0.667 0.757
Se 0.667 0.333 0.243
CELL_PARAMETERS angstrom
3.298 0.000 0.000
-1.649 2.857 0.000
0.000 0.000 7.089
```

Output
Electronic total energy, eV per atom: -6.95
Formation energy from raw total energies, eV/atom: -0.310